No. 1
Compound: Tm2PuTl
Source: Alexandria
Functional: PBE
Structure: optimized geometry

Cell: 5.367 5.367 5.367 Å, 60.00 60.00 60.00°
Site moments in Bohr magnetons follow the coordinates.
Fractional positions:
1 Tl 0.000 0.000 0.000  -0.04
2 Tm 0.250 0.250 0.250  0.42
3 Tm 0.750 0.750 0.750  0.42
4 Pu 0.500 0.500 0.500  5.74

Properties
D(E_F): 13.44 states/eV per cell
DFT formation energy: 0.065 eV per atom
total energy: -6.345 eV per atom
calculated density: 11.95 Mg/m³
energy above the most stable polymorph in this dataset: 0.567 eV per formula unit
calculated volume: 27.32 Å³ per atom

=====

No. 2
Compound: La6GaSi2
Source: Alexandria
Functional: PBE
Structure: optimized geometry

Cell: 7.537 7.537 11.530 Å, 90.00 90.00 90.00°
Fractional positions:
1 La 0.220 0.780 0.169
2 La 0.780 0.220 0.169
3 La 0.720 0.720 0.331
4 La 0.793 0.207 0.500
5 La 0.707 0.707 0.000
6 La 0.280 0.280 0.331
7 La 0.220 0.780 0.831
8 La 0.720 0.720 0.669
9 La 0.780 0.220 0.831
10 La 0.280 0.280 0.669
11 La 0.207 0.793 0.500
12 La 0.293 0.293 0.000
13 Si 0.500 0.500 0.826
14 Si 0.000 0.000 0.674
15 Si 0.500 0.500 0.174
16 Si 0.000 0.000 0.326
17 Ga 0.500 0.500 0.500
18 Ga 0.000 0.000 0.000

Properties
D(E_F): 17.01 states/eV per cell
raw formation energy: -2.10 eV/f.u.
total energy: -5.060 eV per atom
calculated density: 4.86 Mg/m³
energy above the most stable polymorph in this dataset: 2.303 eV per formula unit
calculated volume: 36.39 Å³ per atom

=====

No. 3
Compound: LaRu
Source: Alexandria
Functional: PBE
Structure: optimized geometry

Cell: 5.496 3.264 6.830 Å, 76.18 51.19 90.00°
Fractional positions:
1 La 0.963 0.982 0.037
2 La 0.120 0.768 0.463
3 Ru 0.562 0.546 0.907
4 Ru 0.521 0.204 0.593

Properties
D(E_F): 3.06 states/eV per cell
DFT formation energy: 0.012 eV per atom
total energy: -7.090 eV per atom
calculated density: 8.77 Mg/m³
calculated volume: 22.72 Å³ per atom

=====

No. 4
Compound: TaNbPdRh
Source: Alexandria
Functional: PBE
Structure: optimized geometry

Cell: 4.231 4.231 5.400 Å, 66.94 66.94 60.00°
Site moments in Bohr magnetons follow the coordinates.
Fractional positions:
1 Rh 0.870 0.870 0.391  0.05
2 Pd 0.676 0.676 0.972  0.08
3 Nb 0.462 0.462 0.615  0.32
4 Ta 0.267 0.267 0.199  0.21

Properties
D(E_F): 3.28 states/eV per cell
DFT formation energy: 0.112 eV per atom
total energy: -8.504 eV per atom
calculated density: 10.74 Mg/m³
calculated volume: 18.67 Å³ per atom